[1]
## B3SbO (SCAN)

Data for a crystal of B3SbO relaxed with PBEsol.

a b c (Å): 4.4176 4.4176 4.4176
angles (deg): 90.00 90.00 90.00
Closest atoms and distances in Å follow each position.
Fractional coordinates of all 5 atoms:
B (0.5000, 0.0000, 0.0000)  2 Sb 2.21
B (0.0000, 0.0000, 0.5000)  2 Sb 2.21
B (0.0000, 0.5000, 0.0000)  2 Sb 2.21
O (0.5000, 0.5000, 0.5000)  12 B 3.12
Sb (0.0000, 0.0000, 0.0000)  6 B 2.21

Properties
space-group type: No. 221
formation energy without anion corrections: 2602.4 meV/atom
VASP energy: -52.77 eV/cell
magnetization: 0.0 μB per formula unit

***

[2]
## BSbTe2O (SCAN)

Data for a crystal of BSbTe2O relaxed with PBEsol.

a b c (Å): 4.6643 4.7403 4.7403
angles (deg): 90.00 90.00 90.00
Closest atoms and distances in Å follow each position.
Fractional coordinates of all 5 atoms:
B (0.5000, 0.5000, 0.5000)  8 Te 3.33, 4 Sb 3.35
O (0.0000, 0.0000, 0.0000)  2 Sb 2.33, 4 Te 2.37
Te (0.0000, 0.0000, 0.5000)  2 O 2.37
Te (0.0000, 0.5000, 0.0000)  2 O 2.37
Sb (0.5000, 0.0000, 0.0000)  2 O 2.33

Properties
space-group type: No. 123
formation energy without anion corrections: 1007.5 meV/atom
VASP energy: -120.39 eV/cell
magnetization: 0.0 μB per formula unit